Computed, not measured: crystalline Sr2Cu2S3 at its relaxed geometry at the PBE level of DFT.

The structure in POSCAR format:
```
Sr2Cu2S3
1.0
3.9751 0.0000 0.0000
0.0000 7.0789 -1.2523
-1.9875 -3.1571 5.7540
Sr Cu S
2 2 3
direct
0.4320 0.1892 0.8640 Sr
0.5680 0.8108 0.1360 Sr
0.2220 0.3517 0.4441 Cu
0.7780 0.6483 0.5559 Cu
0.0000 0.0000 0.0000 S
0.1801 0.6540 0.3602 S
0.8199 0.3460 0.6398 S
```

Values from the calculation:
Space-group type   C2/m
ΔE_f (raw)   -1200 meV/atom